The following is a DFT calculation (PBE) of a relaxed structure of KV.

The space group is I4/m (No. 87) and the conventional cell measures 12.9427, 12.9427 and 3.1703 Å, with angles of 90.00, 90.00 and 90.00 degrees. The asymmetric unit holds K at (0.1157, 0.8107, 0.0000) and V at (0.0459, 0.4095, 0.0000).

Its total DFT energy (no corrections) is -69.86 eV/cell. The calculation puts the energy above the most stable polymorph in this dataset at 0 meV per atom. The formation energy comes out at 1.484 eV/f.u.

***

The following is a DFT calculation (PBE) of a relaxed structure of CS.

The space group is P4/nmm (No. 129, origin choice 2) and the conventional cell measures 3.5635, 3.5635 and 4.5165 Å, with angles of 90.00, 90.00 and 90.00 degrees. The asymmetric unit holds C at (0.2500, 0.7500, 0.0000) and S at (0.2500, 0.2500, 0.1447).

Its total DFT energy (no corrections) is -21.22 eV/cell. The calculation puts the energy above the most stable polymorph in this dataset at 146 meV per atom.

***

The following is a DFT calculation (PBE) of a relaxed structure of TmScPaSn.

The space group is F-43m (No. 216) and the conventional cell measures 7.3277, 7.3277 and 7.3277 Å, with angles of 90.00, 90.00 and 90.00 degrees. The asymmetric unit holds Tm at (0.0000, 0.0000, 0.0000), Sc at (0.0000, 0.0000, 0.5000), Pa at (0.2500, 0.2500, 0.7500) and Sn at (0.2500, 0.2500, 0.2500).

Its total DFT energy (no corrections) is -97.59 eV/cell. The formation energy comes out at -0.096 eV/f.u.

***

The following is a DFT calculation (PBE) of a relaxed structure of NiPt2Rh.

The space group is Cm (No. 8) and the conventional cell measures 10.0193, 2.7277 and 4.7136 Å, with angles of 90.00, 116.57 and 90.00 degrees. The asymmetric unit holds Ni at (0.0000, 0.0000, 0.0000), Pt at (0.0035, 0.5000, 0.4993), Pt at (0.2478, 0.5000, 0.0799) and Rh at (0.2558, 0.0000, 0.5879).

Its total DFT energy (no corrections) is -50.37 eV/cell. The formation energy comes out at 0.030 eV/f.u.